(1)
VASP calculation (PBE) on a relaxed structure of ScCoAsIr.

```
ScCoAsIr
1.0
0.000 3.145 3.145
3.145 0.000 3.145
3.145 3.145 0.000
As Co Ir Sc
1 1 1 1
Direct
0.000 0.000 0.000
0.750 0.750 0.750
0.500 0.500 0.500
0.250 0.250 0.250
```

- density (g/cm³) = 9.904

---

(2)
VASP calculation (PBE) on a relaxed structure of ScCoAsIr.

```
ScCoAsIr
1.0
3.782 -2.231 0.087
0.020 -4.245 1.127
0.807 -3.074 -3.032
As Co Ir Sc
1 1 1 1
Direct
0.000 0.000 0.000
0.750 0.750 0.750
0.250 0.250 0.250
0.500 0.500 0.500
```

- density (g/cm³) = 10.281

---

How do the energies compare? Relative to the most stable structure, in meV/atom: (1) 226; (2) 0.

---

(1)
VASP calculation (PBE) on a relaxed structure of CoAsIrW.

```
CoAsIrW
1.0
0.000 3.059 3.059
3.059 0.000 3.059
3.059 3.059 0.000
As Co Ir W
1 1 1 1
Direct
0.000 0.000 0.000
0.750 0.750 0.750
0.500 0.500 0.500
0.250 0.250 0.250
```

- density (g/cm³) = 14.783

---

(2)
VASP calculation (PBE) on a relaxed structure of CoAsIrW.

```
CoAsIrW
1.0
0.000 3.094 3.094
3.094 0.000 3.094
3.094 3.094 0.000
As Co Ir W
1 1 1 1
Direct
0.000 0.000 0.000
0.750 0.750 0.750
0.250 0.250 0.250
0.500 0.500 0.500
```

- density (g/cm³) = 14.289

---

How do the energies compare? Relative to the most stable structure, in meV/atom: (1) 0; (2) 213.

---

(1)
VASP calculation (PBE) on a relaxed structure of YCoAsIr.

```
YCoAsIr
1.0
3.948 -0.573 2.319
-0.081 -0.651 4.568
1.063 -4.131 1.761
As Co Ir Y
1 1 1 1
Direct
0.000 0.000 0.000
0.750 0.750 0.750
0.500 0.500 0.500
0.250 0.250 0.250
```

- density (g/cm³) = 9.918

---

(2)
VASP calculation (PBE) on a relaxed structure of YCoAsIr.

```
YCoAsIr
1.0
-0.837 -3.753 -2.448
1.322 -4.076 1.553
-3.108 -3.010 1.433
As Co Ir Y
1 1 1 1
Direct
0.000 0.000 0.000
0.750 0.750 0.750
0.250 0.250 0.250
0.500 0.500 0.500
```

- density (g/cm³) = 10.291

---

How do the energies compare? Relative to the most stable structure, in meV/atom: (1) 181; (2) 0.

---

(1)
VASP calculation (PBE) on a relaxed structure of ZnCoAsIr.

```
ZnCoAsIr
1.0
1.423 -3.347 -2.207
-2.715 -3.013 -1.282
-0.954 -0.387 -4.127
As Co Ir Zn
1 1 1 1
Direct
0.000 0.000 0.000
0.750 0.750 0.750
0.250 0.250 0.250
0.500 0.500 0.500
```

- density (g/cm³) = 11.943

---

(2)
VASP calculation (PBE) on a relaxed structure of ZnCoAsIr.

```
ZnCoAsIr
1.0
-0.159 -3.402 -2.637
-2.742 -3.222 0.805
-3.426 -0.597 -2.541
As Co Ir Zn
1 1 1 1
Direct
0.000 0.000 0.000
0.750 0.750 0.750
0.500 0.500 0.500
0.250 0.250 0.250
```

- density (g/cm³) = 11.506

---

How do the energies compare? Relative to the most stable structure, in meV/atom: (1) 0; (2) 258.

---

(1)
VASP calculation (PBE) on a relaxed structure of LiCoMoAs.

```
LiCoMoAs
1.0
-4.110 -0.587 -0.091
-2.474 2.890 -1.665
-1.913 -0.734 -3.612
As Co Li Mo
1 1 1 1
Direct
0.000 0.000 0.000
0.750 0.750 0.750
0.500 0.500 0.500
0.250 0.250 0.250
```

- density (g/cm³) = 7.764

---

(2)
VASP calculation (PBE) on a relaxed structure of LiCoMoAs.

```
LiCoMoAs
1.0
0.000 2.961 2.961
2.961 0.000 2.961
2.961 2.961 0.000
As Co Li Mo
1 1 1 1
Direct
0.000 0.000 0.000
0.750 0.750 0.750
0.250 0.250 0.250
0.500 0.500 0.500
```

- density (g/cm³) = 7.568

---

How do the energies compare? Relative to the most stable structure, in meV/atom: (1) 0; (2) 98.